Computed, not measured: a crystal of AsBr2O relaxed with PBEsol at the meta-GGA SCAN level of DFT.

Summary:
The formation energy (no corrections) is 0.7325 eV/atom.

Unit cell a=8.5567 b=8.5567 c=8.5567 alpha=22.76 beta=22.76 gamma=22.76
Closest atoms and distances in Å follow each position.
Fractional coordinates of all 4 atoms:
As 0.0000 0.0000 0.0000  2 Br 2.48
Br 0.0993 0.0993 0.0993  1 As 2.48, 3 O 2.58
Br 0.9007 0.9007 0.9007  1 As 2.48, 3 O 2.58
O 0.5000 0.5000 0.5000  6 Br 2.58